Below is Pr3ScTl4 after structural relaxation, with properties calculated at the PBE level.

Results
For the density of states at the Fermi level, the calculation gives 5.08 states/eV/f.u. As for the polymorph energy (0 for the lowest one): 0 meV/atom. Its formation enthalpy at 0 K is -365.3 meV/atom. The magnetization comes out at 0.000 μB per formula unit.

Unit cell a=3.7840 b=3.7840 c=15.9654 alpha=90.00 beta=90.00 gamma=90.00
Last column: nearest neighbours and their distance in Å.
Space group P4/mmm (No. 123)
Unique sites:
Pr: 0.0000 0.0000 0.0000 (multiplicity 1)  8 Tl 3.41, 4 Pr 3.78
Pr: 0.0000 0.0000 0.2628 (multiplicity 2)  8 Tl 3.39-3.41, 4 Pr 3.78, 1 Sc 3.79
Sc: 0.0000 0.0000 0.5000 (multiplicity 1)  8 Tl 3.16
Tl: 0.5000 0.5000 0.1319 (multiplicity 2)  8 Pr 3.39-3.41, 4 Tl 3.78
Tl: 0.5000 0.5000 0.3952 (multiplicity 2)  4 Sc 3.16, 1 Tl 3.35, 4 Pr 3.41

Below is Tb3Pm6Pr2Sc after structural relaxation, with properties calculated at the PBE level.

Results
For the density of states at the Fermi level, the calculation gives 16.23 states/eV/f.u. Its formation enthalpy at 0 K is 24.9 meV/atom. The magnetization comes out at 0.000 μB per formula unit.

Unit cell a=6.2508 b=10.8249 c=11.9547 alpha=90.00 beta=100.07 gamma=90.00
Last column: nearest neighbours and their distance in Å.
Space group C2/m (No. 12)
Unique sites:
Tb: 0.0000 0.0000 0.0000 (multiplicity 2)  6 Pm 3.59-3.60, 6 Tb 3.61
Tb: 0.0000 0.3338 0.0000 (multiplicity 4)  6 Pm 3.58-3.62, 6 Tb 3.60-3.61
Pm: 0.2475 0.3355 0.7507 (multiplicity 8)  6 Pm 3.56-3.63, 3 Tb 3.59-3.62, 1 Sc 3.60, 2 Pr 3.62
Pm: 0.2465 0.5000 0.2486 (multiplicity 4)  6 Pm 3.57-3.63, 3 Tb 3.58-3.60, 1 Sc 3.61, 2 Pr 3.62
Pr: 0.0000 0.1666 0.5000 (multiplicity 4)  3 Pr 3.61, 3 Sc 3.61, 6 Pm 3.62
Sc: 0.0000 0.5000 0.5000 (multiplicity 2)  6 Pm 3.60-3.61, 6 Pr 3.61

Below is Tm5SiSb2 after structural relaxation, with properties calculated at the PBE level.

Results
For the density of states at the Fermi level, the calculation gives 6.97 states/eV/f.u. The value obtained for the energy relative to the elements, uncorrected is -3.32 eV/f.u. The magnetization comes out at 0.000 μB per formula unit.

Unit cell a=5.8866 b=12.1506 c=13.7476 alpha=90.00 beta=90.00 gamma=90.00
Last column: nearest neighbours and their distance in Å.
Space group Cmcm (No. 63)
Unique sites:
Tm: 0.0000 0.0616 0.1177 (multiplicity 8)  1 Si 2.74, 2 Sb 2.99-3.01
Tm: 0.0000 0.3226 0.7500 (multiplicity 4)  2 Sb 2.98, 2 Si 3.01
Tm: 0.0000 0.3705 0.0826 (multiplicity 8)  1 Si 2.87, 3 Sb 3.01-3.14
Si: 0.0000 0.2298 0.2500 (multiplicity 4)  6 Tm 2.74-3.01
Sb: 0.0000 0.1812 0.5726 (multiplicity 8)  6 Tm 2.98-3.14

Below is BeNbPd after structural relaxation, with properties calculated at the PBE level.

Results
For the density of states at the Fermi level, the calculation gives 2.51 states/eV/f.u. As for the polymorph energy (0 for the lowest one): 305 meV/atom. Its formation enthalpy at 0 K is -46.8 meV/atom. The magnetization comes out at 0.000 μB per formula unit.

Unit cell a=4.0334 b=4.0334 c=18.5480 alpha=90.00 beta=90.00 gamma=120.00
Last column: nearest neighbours and their distance in Å.
Space group R-3m (No. 166, hexagonal axes)
Unique sites:
Be: 0.0000 0.0000 0.0619 (multiplicity 6)  1 Be 2.30, 3 Pd 2.37
Nb: 0.0000 0.0000 0.2090 (multiplicity 6)  4 Be 2.60-2.73, 3 Nb 2.81, 3 Pd 2.84
Pd: 0.0000 0.0000 0.3702 (multiplicity 6)  3 Be 2.37

Below is MnZn2SiMo after structural relaxation, with properties calculated at the PBE level.

Results
For the density of states at the Fermi level, the calculation gives 4.02 states/eV/f.u. The value obtained for the energy relative to the elements, uncorrected is 5.21 eV/f.u. The magnetization comes out at 0.162 μB per formula unit.

Unit cell a=4.6231 b=4.6231 c=4.3500 alpha=90.00 beta=90.00 gamma=90.00
Last column: nearest neighbours and their distance in Å.
Space group P4/mmm (No. 123)
Unique sites:
Mn: 0.0000 0.0000 0.0000 (multiplicity 1)  2 Mo 2.17, 4 Zn 2.31
Zn: 0.0000 0.5000 0.0000 (multiplicity 2)  2 Mn 2.31
Si: 0.5000 0.5000 0.5000 (multiplicity 1)  8 Zn 3.17, 4 Mo 3.27
Mo: 0.0000 0.0000 0.5000 (multiplicity 1)  2 Mn 2.17

Below is Ti3IrC after structural relaxation, with properties calculated at the PBE level.

Results
For the density of states at the Fermi level, the calculation gives 4.79 states/eV/f.u. As for the polymorph energy (0 for the lowest one): 112 meV/atom. Its formation enthalpy at 0 K is -498.4 meV/atom. The magnetization comes out at 0.000 μB per formula unit.

Unit cell a=3.1145 b=5.5926 c=8.0865 alpha=90.00 beta=90.00 gamma=90.00
Last column: nearest neighbours and their distance in Å.
Space group Pmmn (No. 59, origin choice 2)
Unique sites:
Ti: 0.2500 0.0031 0.1451 (multiplicity 4)  3 C 2.14-2.33
Ti: 0.2500 0.7500 0.5984 (multiplicity 2)  4 Ir 2.54-2.83, 1 C 2.56
Ir: 0.2500 0.2500 0.6493 (multiplicity 2)  8 Ti 2.54-2.83
C: 0.2500 0.7500 0.9156 (multiplicity 2)  6 Ti 2.14-2.33

Below is Mg2PbBr after structural relaxation, with properties calculated at the PBE level.

Results
For the density of states at the Fermi level, the calculation gives 4.79 states/eV/f.u. The value obtained for the energy relative to the elements, uncorrected is 0.17 eV/f.u. As for the polymorph energy (0 for the lowest one): 467 meV/atom. The magnetization comes out at 0.000 μB per formula unit.

Unit cell a=7.6186 b=7.6186 c=7.6186 alpha=90.00 beta=90.00 gamma=90.00
Last column: nearest neighbours and their distance in Å.
Space group F-43m (No. 216)
Unique sites:
Mg: 0.0000 0.0000 0.0000 (multiplicity 4)  4 Mg 3.30, 4 Pb 3.30
Mg: 0.2500 0.2500 0.2500 (multiplicity 4)  4 Br 3.30, 4 Mg 3.30
Pb: 0.2500 0.2500 0.7500 (multiplicity 4)  4 Br 3.30, 4 Mg 3.30
Br: 0.0000 0.0000 0.5000 (multiplicity 4)  4 Pb 3.30, 4 Mg 3.30

Below is Tm5Pd2Pt after structural relaxation, with properties calculated at the PBE level.

Results
For the density of states at the Fermi level, the calculation gives 7.32 states/eV/f.u. Its formation enthalpy at 0 K is -821.5 meV/atom. The magnetization comes out at 0.000 μB per formula unit.

Unit cell a=7.2800 b=7.2800 c=14.1532 alpha=90.00 beta=90.00 gamma=90.00
Last column: nearest neighbours and their distance in Å.
Space group I4/mcm (No. 140)
Unique sites:
Tm: 0.0000 0.0000 0.0000 (multiplicity 4)  4 Pd 2.84
Tm: 0.1685 0.3315 0.1486 (multiplicity 16)  3 Pd 2.92-3.06, 2 Pt 3.06
Pd: 0.1342 0.3658 0.5000 (multiplicity 8)  1 Pd 2.76, 8 Tm 2.84-3.06
Pt: 0.0000 0.0000 0.2500 (multiplicity 4)  8 Tm 3.06

Below is LiRe2Mo after structural relaxation, with properties calculated at the PBE level.

Results
For the density of states at the Fermi level, the calculation gives 3.54 states/eV/f.u. As for the polymorph energy (0 for the lowest one): 118 meV/atom. Its formation enthalpy at 0 K is 299.1 meV/atom. The magnetization comes out at 0.000 μB per formula unit.

Unit cell a=3.0183 b=4.3890 c=9.2678 alpha=90.00 beta=90.00 gamma=90.00
Last column: nearest neighbours and their distance in Å.
Space group Cmm2 (No. 35)
Unique sites:
Li: 0.0000 0.0000 0.0000 (multiplicity 2)  4 Li 2.66, 2 Re 2.77, 2 Mo 2.88
Re: 0.0000 0.0000 0.5088 (multiplicity 2)  6 Re 2.66-2.70, 2 Mo 2.72
Re: 0.0000 0.5000 0.7499 (multiplicity 2)  6 Re 2.66-2.70, 2 Li 2.77
Mo: 0.0000 0.5000 0.2644 (multiplicity 2)  4 Mo 2.66, 2 Re 2.72, 2 Li 2.88

Below is ZnSbSe2Br after structural relaxation, with properties calculated at the PBE level.

Results
For the density of states at the Fermi level, the calculation gives 3.36 states/eV/f.u. The value obtained for the energy relative to the elements, uncorrected is 1.38 eV/f.u. As for the polymorph energy (0 for the lowest one): 129 meV/atom. The magnetization comes out at 0.000 μB per formula unit.

Unit cell a=5.3284 b=5.3284 c=5.5741 alpha=90.00 beta=90.00 gamma=90.00
Last column: nearest neighbours and their distance in Å.
Space group P4/mmm (No. 123)
Unique sites:
Zn: 0.0000 0.0000 0.0000 (multiplicity 1)  4 Br 3.77, 8 Se 3.86
Sb: 0.5000 0.5000 0.5000 (multiplicity 1)  4 Se 2.66, 2 Br 2.79
Se: 0.0000 0.5000 0.5000 (multiplicity 2)  2 Sb 2.66
Br: 0.5000 0.5000 0.0000 (multiplicity 1)  2 Sb 2.79

Below is Pr2AlGa12 after structural relaxation, with properties calculated at the PBE level.

Results
For the density of states at the Fermi level, the calculation gives 4.10 states/eV/f.u. Its formation enthalpy at 0 K is -291.5 meV/atom. The magnetization comes out at 0.000 μB per formula unit.

Unit cell a=6.3825 b=6.3825 c=15.0723 alpha=90.00 beta=90.00 gamma=90.00
Last column: nearest neighbours and their distance in Å.
Space group P4/nbm (No. 125, origin choice 2)
Unique sites:
Pr: 0.2500 0.7500 0.2437 (multiplicity 4)  14 Ga 3.18-3.53
Al: 0.2500 0.7500 0.0000 (multiplicity 2)  8 Ga 2.62-2.64
Ga: 0.0008 0.5008 0.0897 (multiplicity 8)  2 Al 2.62-2.64, 3 Ga 2.63-2.70
Ga: 0.0786 0.5786 0.5716 (multiplicity 8)  3 Ga 2.58-2.68
Ga: 0.2500 0.2500 0.1798 (multiplicity 4)  5 Ga 2.48-2.63
Ga: 0.2500 0.2500 0.3445 (multiplicity 4)  5 Ga 2.48-2.68

Below is Tl2TcBr4Cl2 after structural relaxation, with properties calculated at the PBE level.

Results
The value obtained for the energy relative to the elements, uncorrected is -6.53 eV/f.u. The magnetization comes out at 3.000 μB per formula unit.

Unit cell a=12.5070 b=7.4251 c=7.5671 alpha=90.00 beta=126.61 gamma=90.00
Last column: nearest neighbours and their distance in Å.
Space group C2/m (No. 12)
Unique sites:
Tl: 0.2500 0.0000 0.2391 (multiplicity 4)  1 Cl 3.31, 4 Br 3.48-3.51
Tc: 0.0000 0.0000 0.5000 (multiplicity 2)  2 Cl 2.37, 4 Br 2.54
Br: 0.0310 0.2409 0.2962 (multiplicity 8)  1 Tc 2.54
Cl: 0.2319 0.0000 0.7847 (multiplicity 4)  1 Tc 2.37

Which value of magnetization does entry 11 give?
0.000 μB per formula unit